Below is a geometry-optimized TaSiTcRu structure, with properties calculated at the PBE-GGA level.

```
TaSiTcRu
1.0
0.000 3.072 3.072
3.072 0.000 3.072
3.072 3.072 0.000
Ta Si Tc Ru
1 1 1 1
direct
0.000 0.000 0.000
0.500 0.500 0.500
0.750 0.750 0.750
0.250 0.250 0.250
```

Properties
The value obtained for the formation energy (no corrections) is -2.319 eV/f.u. Its space group is No. 216.


Below is a geometry-optimized AcGa8Pd2 structure, with properties calculated at the PBE-GGA level.

```
AcGa8Pd2
1.0
5.638 0.000 0.000
0.000 5.638 0.000
0.000 0.000 8.605
Ac Ga Pd
1 8 2
direct
0.000 0.000 0.000
0.254 0.254 0.303
0.254 0.254 0.697
0.254 0.746 0.303
0.254 0.746 0.697
0.746 0.254 0.303
0.746 0.254 0.697
0.746 0.746 0.303
0.746 0.746 0.697
0.000 0.500 0.500
0.500 0.000 0.500
```

Properties
As for the calculated formation energy: -0.137 eV per atom. Its space group is No. 123.


Below is a geometry-optimized Mn3NiOs structure, with properties calculated at the PBE-GGA level.

```
Mn3NiOs
1.0
4.100 0.000 0.000
0.000 4.100 0.000
0.000 0.000 4.100
Mn Ni Os
3 1 1
direct
0.000 0.000 0.500
0.000 0.500 0.000
0.500 0.000 0.000
0.000 0.000 0.000
0.500 0.500 0.500
```

Properties
As for the calculated formation energy: 1.614 eV per atom. The energy above the most stable polymorph in this dataset comes out at 137 meV per atom. Its space group is No. 221.


Below is a geometry-optimized AcNdTlI structure, with properties calculated at the PBE-GGA level.

```
AcNdTlI
1.0
0.000 4.055 4.055
4.055 0.000 4.055
4.055 4.055 0.000
Ac Nd Tl I
1 1 1 1
direct
0.000 0.000 0.000
0.500 0.500 0.500
0.750 0.750 0.750
0.250 0.250 0.250
```

Properties
The energy above the most stable polymorph in this dataset comes out at 90 meV per atom. The value obtained for the formation energy (no corrections) is -2.116 eV/f.u. Its space group is No. 216.


Below is a geometry-optimized PmMgRe4 structure, with properties calculated at the PBE-GGA level.

```
PmMgRe4
1.0
0.000 3.802 3.802
3.802 0.000 3.802
3.802 3.802 0.000
Pm Mg Re
1 1 4
direct
0.000 0.000 0.000
0.750 0.750 0.750
0.375 0.375 0.375
0.375 0.375 0.874
0.375 0.874 0.375
0.874 0.375 0.375
```

Properties
As for the calculated formation energy: 0.084 eV per atom. Its space group is No. 216.


Below is a geometry-optimized LaPr5Tm2Sc structure, with properties calculated at the PBE-GGA level.

```
LaPr5Tm2Sc
1.0
2.850 -10.174 0.000
2.850 10.174 0.000
0.000 0.000 10.581
La Pr Tm Sc
2 10 4 2
direct
0.089 0.911 0.500
0.911 0.089 0.000
0.014 0.986 0.785
0.126 0.874 0.062
0.202 0.798 0.752
0.225 0.775 0.367
0.483 0.517 0.060
0.517 0.483 0.560
0.775 0.225 0.867
0.798 0.202 0.252
0.874 0.126 0.562
0.986 0.014 0.285
0.383 0.617 0.781
0.389 0.611 0.351
0.611 0.389 0.851
0.617 0.383 0.281
0.306 0.694 0.058
0.694 0.306 0.558
```

Properties
As for the calculated formation energy: 0.162 eV per atom. Its space group is No. 36.


Below is a geometry-optimized NdSm2AlN structure, with properties calculated at the PBE-GGA level.

```
NdSm2AlN
1.0
4.921 0.000 0.000
0.000 4.921 0.000
0.000 0.000 4.995
Nd Sm Al N
1 2 1 1
direct
0.000 0.000 0.000
0.000 0.500 0.500
0.500 0.000 0.500
0.500 0.500 0.000
0.000 0.000 0.500
```

Properties
The value obtained for the formation energy (no corrections) is -3.954 eV/f.u. Its space group is No. 123.


Below is a geometry-optimized ReAgP2Rh structure, with properties calculated at the PBE-GGA level.

```
ReAgP2Rh
1.0
4.522 0.000 0.000
0.000 4.522 0.000
0.000 0.000 4.976
Re Ag P Rh
1 1 2 1
direct
0.000 0.000 0.000
0.500 0.500 0.500
0.000 0.500 0.000
0.500 0.000 0.000
0.000 0.000 0.500
```

Properties
As for the calculated formation energy: 0.785 eV per atom. Its space group is No. 123.


Below is a geometry-optimized KTl2CuPt structure, with properties calculated at the PBE-GGA level.

```
KTl2CuPt
1.0
5.316 0.000 0.000
0.000 5.316 0.000
0.000 0.000 5.137
K Tl Cu Pt
1 2 1 1
direct
0.000 0.000 0.000
0.000 0.500 0.500
0.500 0.000 0.500
0.500 0.500 0.000
0.500 0.500 0.500
```

Properties
As for the calculated formation energy: 0.039 eV per atom. Its space group is No. 123.


Below is a geometry-optimized Tl4Hg5 structure, with properties calculated at the PBE-GGA level.

```
Tl4Hg5
1.0
9.594 0.000 0.000
-4.797 8.309 0.000
0.000 0.000 6.621
Tl Hg
8 10
direct
0.000 0.000 0.000
0.000 0.000 0.500
0.000 0.361 0.250
0.000 0.639 0.750
0.361 0.000 0.250
0.361 0.361 0.750
0.639 0.000 0.750
0.639 0.639 0.250
0.000 0.310 0.750
0.000 0.690 0.250
0.310 0.000 0.750
0.310 0.310 0.250
0.333 0.667 0.000
0.333 0.667 0.500
0.667 0.333 0.000
0.667 0.333 0.500
0.690 0.000 0.250
0.690 0.690 0.750
```

Properties
As for the calculated formation energy: 0.001 eV per atom. The energy above the most stable polymorph in this dataset comes out at 0 meV per atom. Its space group is No. 193.


Below is a geometry-optimized Pm3TlAu4 structure, with properties calculated at the PBE-GGA level.

```
Pm3TlAu4
1.0
-1.939 3.682 7.471
1.939 -3.682 7.471
1.939 3.682 -7.471
Pm Tl Au
3 1 4
direct
0.000 0.000 0.000
0.312 0.812 0.500
0.688 0.188 0.500
0.500 0.500 0.000
0.059 0.365 0.695
0.330 0.635 0.695
0.670 0.365 0.305
0.941 0.635 0.305
```

Properties
As for the calculated formation energy: -0.599 eV per atom. Its space group is No. 71.


Below is a geometry-optimized Pm5YZn4 structure, with properties calculated at the PBE-GGA level.

```
Pm5YZn4
1.0
3.661 0.000 0.000
0.000 3.661 0.000
0.000 0.000 19.679
Pm Y Zn
5 1 4
direct
0.000 0.000 0.000
0.000 0.000 0.185
0.000 0.000 0.370
0.000 0.000 0.630
0.000 0.000 0.815
0.500 0.500 0.500
0.500 0.500 0.093
0.500 0.500 0.278
0.500 0.500 0.722
0.500 0.500 0.907
```

Properties
As for the calculated formation energy: -0.249 eV per atom. Its space group is No. 123.


Below is a geometry-optimized CdSnH2 structure, with properties calculated at the PBE-GGA level.

```
CdSnH2
1.0
3.743 -2.653 0.000
3.743 2.653 0.000
-3.364 0.000 4.021
Cd Sn H
1 1 2
direct
0.000 0.000 0.000
0.607 0.607 0.230
0.621 0.621 0.591
0.927 0.927 0.527
```

Properties
The energy above the most stable polymorph in this dataset comes out at 148 meV per atom. Its space group is No. 8.


Below is a geometry-optimized LiTa2Ag structure, with properties calculated at the PBE-GGA level.

```
LiTa2Ag
1.0
1.419 0.819 10.278
-1.419 0.819 10.278
0.000 -1.639 10.278
Li Ta Ag
1 2 1
direct
0.000 0.000 0.000
0.248 0.248 0.248
0.752 0.752 0.752
0.500 0.500 0.500
```

Properties
As for the calculated formation energy: 0.377 eV per atom. The energy above the most stable polymorph in this dataset comes out at 230 meV per atom. Its space group is No. 166.


Below is a geometry-optimized Be2GeB2 structure, with properties calculated at the PBE-GGA level.

```
Be2GeB2
1.0
6.507 0.000 0.000
0.000 6.507 0.000
0.000 0.000 2.247
Be Ge B
4 2 4
direct
0.126 0.374 0.000
0.374 0.874 0.000
0.626 0.126 0.000
0.874 0.626 0.000
0.000 0.000 0.000
0.500 0.500 0.000
0.163 0.663 0.500
0.337 0.163 0.500
0.663 0.837 0.500
0.837 0.337 0.500
```

Properties
As for the calculated formation energy: 0.876 eV per atom. The energy above the most stable polymorph in this dataset comes out at 398 meV per atom. Its space group is No. 127.


Below is a geometry-optimized ThMgZnAu structure, with properties calculated at the PBE-GGA level.

```
ThMgZnAu
1.0
0.000 3.541 3.541
3.541 0.000 3.541
3.541 3.541 0.000
Th Mg Zn Au
1 1 1 1
direct
0.000 0.000 0.000
0.500 0.500 0.500
0.750 0.750 0.750
0.250 0.250 0.250
```

Properties
As for the calculated formation energy: -0.455 eV per atom. Its space group is No. 216.


Below is a geometry-optimized SbRh4Se structure, with properties calculated at the PBE-GGA level.

```
SbRh4Se
1.0
0.000 3.717 3.717
3.717 0.000 3.717
3.717 3.717 0.000
Sb Rh Se
1 4 1
direct
0.000 0.000 0.000
0.375 0.375 0.375
0.375 0.375 0.874
0.375 0.874 0.375
0.874 0.375 0.375
0.750 0.750 0.750
```

Properties
The value obtained for the formation energy (no corrections) is 2.133 eV/f.u. Its space group is No. 216.


Below is a geometry-optimized NaInHgPb2 structure, with properties calculated at the PBE-GGA level.

```
NaInHgPb2
1.0
2.568 -5.097 0.000
2.568 5.097 0.000
0.000 0.000 11.245
Na In Hg Pb
2 2 2 4
direct
0.104 0.896 0.750
0.896 0.104 0.250
0.500 0.500 0.000
0.500 0.500 0.500
0.412 0.588 0.750
0.588 0.412 0.250
0.199 0.801 0.091
0.199 0.801 0.409
0.801 0.199 0.591
0.801 0.199 0.909
```

Properties
As for the calculated formation energy: -0.066 eV per atom. Its space group is No. 63.


Below is a geometry-optimized Tm2Si2Ge structure, with properties calculated at the PBE-GGA level.

```
Tm2Si2Ge
1.0
-1.993 3.041 4.128
1.993 -3.041 4.128
1.993 3.041 -4.128
Tm Si Ge
2 2 1
direct
0.222 0.222 0.000
0.778 0.778 0.000
0.196 0.500 0.696
0.804 0.500 0.304
0.500 0.000 0.500
```

Properties
The energy above the most stable polymorph in this dataset comes out at 0 meV per atom. The value obtained for the formation energy (no corrections) is -3.394 eV/f.u. Its space group is No. 71.


Below is a geometry-optimized LiAcMg2Ag4 structure, with properties calculated at the PBE-GGA level.

```
LiAcMg2Ag4
1.0
2.374 1.371 9.036
-2.374 1.371 9.036
0.000 -2.742 9.036
Li Ac Mg Ag
1 1 2 4
direct
0.000 0.000 0.000
0.500 0.500 0.500
0.265 0.265 0.265
0.735 0.735 0.735
0.096 0.096 0.096
0.372 0.372 0.372
0.628 0.628 0.628
0.904 0.904 0.904
```

Properties
As for the calculated formation energy: -0.231 eV per atom. Its space group is No. 166.


Below is a geometry-optimized SnHgSb2Te structure, with properties calculated at the PBE-GGA level.

```
SnHgSb2Te
1.0
5.730 0.000 0.000
0.000 5.730 0.000
0.000 0.000 5.761
Sn Hg Sb Te
1 1 2 1
direct
0.000 0.000 0.000
0.500 0.500 0.500
0.000 0.500 0.000
0.500 0.000 0.000
0.000 0.000 0.500
```

Properties
The energy above the most stable polymorph in this dataset comes out at 0 meV per atom. The value obtained for the formation energy (no corrections) is 3.071 eV/f.u. Its space group is No. 123.


Below is a geometry-optimized RbYSi structure, with properties calculated at the PBE-GGA level.

```
RbYSi
1.0
4.240 0.000 0.000
0.000 6.471 0.000
-0.052 0.000 9.064
Rb Y Si
2 2 2
direct
0.000 0.000 0.000
0.491 0.500 0.320
0.993 0.000 0.543
0.995 0.500 0.739
0.495 0.199 0.696
0.495 0.801 0.696
```

Properties
The energy above the most stable polymorph in this dataset comes out at 207 meV per atom. The value obtained for the formation energy (no corrections) is -0.251 eV/f.u. Its space group is No. 6.


Below is a geometry-optimized RbCaCuBr5 structure, with properties calculated at the PBE-GGA level.

```
RbCaCuBr5
1.0
4.499 -6.583 0.000
4.499 6.583 0.000
-4.143 0.000 9.648
Rb Ca Cu Br
2 2 2 10
direct
0.166 0.834 0.750
0.834 0.166 0.250
0.500 0.500 0.000
0.500 0.500 0.500
0.176 0.824 0.250
0.824 0.176 0.750
0.097 0.212 0.930
0.209 0.630 0.395
0.212 0.097 0.430
0.370 0.791 0.105
0.423 0.577 0.750
0.577 0.423 0.250
0.630 0.209 0.895
0.788 0.903 0.570
0.791 0.370 0.605
0.903 0.788 0.070
```

Properties
The value obtained for the formation energy (no corrections) is -10.181 eV/f.u. Its space group is No. 15.


Below is a geometry-optimized TbPm6Nd12 structure, with properties calculated at the PBE-GGA level.

```
TbPm6Nd12
1.0
8.181 4.724 3.032
-8.181 4.724 3.032
0.000 -9.447 3.032
Tb Pm Nd
1 6 12
direct
0.000 0.000 0.000
0.269 0.644 0.644
0.356 0.356 0.731
0.356 0.731 0.356
0.644 0.269 0.644
0.644 0.644 0.269
0.731 0.356 0.356
0.006 0.745 0.745
0.108 0.500 0.892
0.108 0.892 0.500
0.255 0.255 0.994
0.255 0.994 0.255
0.500 0.108 0.892
0.500 0.892 0.108
0.745 0.006 0.745
0.745 0.745 0.006
0.892 0.108 0.500
0.892 0.500 0.108
0.994 0.255 0.255
```

Properties
As for the calculated formation energy: 0.385 eV per atom. The energy above the most stable polymorph in this dataset comes out at 257 meV per atom. Its space group is No. 166.


Taking the records one at a time from the top gives calculated total energy values of -9.8092, -3.6562, -7.2897, -3.7271, -9.2722, -4.7374, -6.0456, -5.9095, -3.1545, -1.2182, -4.3148, -3.7799, -2.6587, -6.7408, -4.2090, -3.8464, -5.8133, -2.4212, -5.5600, -2.8077, -2.5241, -4.3685, -3.2014, -4.3703 eV per atom.